A plane-wave DFT calculation with PBE was carried out for a geometry-optimized Tb4CeDy5 structure.

Cell and atoms, written as POSCAR:
```
Tb4CeDy5
1.0
-2.0456 1.7829 5.2198
4.6013 -2.5667 5.9952
3.0714 7.0587 2.1079
Dy Tb Ce
5 4 1
direct
0.1435 0.9999 0.6275 Dy
0.1434 0.6275 0.0001 Dy
0.7709 0.0001 0.3725 Dy
0.7710 0.3725 0.9999 Dy
0.6702 0.0000 0.0000 Dy
0.4517 0.3256 0.6745 Tb
0.1262 0.3255 0.3256 Tb
0.4518 0.6744 0.3255 Tb
0.7774 0.6745 0.6744 Tb
0.2041 0.0000 0.0000 Ce
```

Properties
The density of states at the Fermi level comes out at 15.538 states/eV/f.u. The calculation puts the excess energy over the best structure of this formula in the dataset at 230 meV per atom. As for the space group: I4mm, No. 107. The total energy comes out at -44.84 eV/cell. The calculation puts the formation energy from the elements at 0.262 eV/atom.